No. 1
# Al2BiOs2 | the Alexandria database | PBE-GGA | optimized geometry
# - total DFT energy (no corrections) (eV for the cell shown) = -66.10
# - volume (Å³ per atom) = 17.02
# - energy relative to the elements (eV per atom) = 0.155
data_Al2BiOs2
_chemical_formula_sum 'Al4 Bi2 Os4'
_cell_length_a 7.612
_cell_length_b 7.612
_cell_length_c 2.937
_cell_angle_alpha 90.00
_cell_angle_beta 90.00
_cell_angle_gamma 90.00
_symmetry_space_group_name_H-M 'P 1'
_symmetry_Int_Tables_number 1
loop_
_symmetry_equiv_pos_as_xyz
'x,y,z'
loop_
_atom_site_label
_atom_site_type_symbol
_atom_site_fract_x
_atom_site_fract_y
_atom_site_fract_z
Al1 Al 0.137 0.363 0.000
Al2 Al 0.363 0.863 0.000
Al3 Al 0.637 0.137 0.000
Al4 Al 0.863 0.637 0.000
Bi1 Bi 0.000 0.000 0.500
Bi2 Bi 0.500 0.500 0.500
Os1 Os 0.153 0.653 0.500
Os2 Os 0.347 0.153 0.500
Os3 Os 0.653 0.847 0.500
Os4 Os 0.847 0.347 0.500

---

No. 2
# NaTlSn2 | the Alexandria database | PBE-GGA | optimized geometry
# - total DFT energy (no corrections) (eV for the cell shown) = -12.05
# - volume (Å³ per atom) = 27.18
# - energy relative to the elements (eV per atom) = -0.090
data_NaTlSn2
_chemical_formula_sum 'Na1 Tl1 Sn2'
_cell_length_a 4.649
_cell_length_b 4.649
_cell_length_c 5.029
_cell_angle_alpha 90.00
_cell_angle_beta 90.00
_cell_angle_gamma 90.00
_symmetry_space_group_name_H-M 'P 1'
_symmetry_Int_Tables_number 1
loop_
_symmetry_equiv_pos_as_xyz
'x,y,z'
loop_
_atom_site_label
_atom_site_type_symbol
_atom_site_fract_x
_atom_site_fract_y
_atom_site_fract_z
Na1 Na 0.000 0.000 0.000
Tl1 Tl 0.500 0.500 0.000
Sn1 Sn 0.000 0.500 0.500
Sn2 Sn 0.500 0.000 0.500

---

No. 3
# ZrTaCl2 | the Alexandria database | PBE-GGA | optimized geometry
# - total DFT energy (no corrections) (eV for the cell shown) = -46.22
# - energy relative to the elements, uncorrected (eV per atom) = 0.246
# - volume (Å³ per atom) = 18.31
data_ZrTaCl2
_chemical_formula_sum 'Zr2 Ta2 Cl4'
_cell_length_a 3.686
_cell_length_b 3.686
_cell_length_c 10.783
_cell_angle_alpha 90.00
_cell_angle_beta 90.00
_cell_angle_gamma 90.00
_symmetry_space_group_name_H-M 'P 1'
_symmetry_Int_Tables_number 1
loop_
_symmetry_equiv_pos_as_xyz
'x,y,z'
loop_
_atom_site_label
_atom_site_type_symbol
_atom_site_fract_x
_atom_site_fract_y
_atom_site_fract_z
Zr1 Zr 0.000 0.000 0.000
Zr2 Zr 0.500 0.500 0.500
Ta1 Ta 0.000 0.500 0.250
Ta2 Ta 0.500 0.000 0.750
Cl1 Cl 0.000 0.000 0.500
Cl2 Cl 0.000 0.500 0.750
Cl3 Cl 0.500 0.000 0.250
Cl4 Cl 0.500 0.500 0.000

---

No. 4
# K2PuInO4 | the Alexandria database | PBE-GGA | optimized geometry
# - total DFT energy (no corrections) (eV for the cell shown) = -54.42
# - energy relative to the elements, uncorrected (eV per atom) = -1.915
# - volume (Å³ per atom) = 18.30
data_K2PuInO4
_chemical_formula_sum 'K2 Pu1 In1 O4'
_cell_length_a 6.630
_cell_length_b 3.549
_cell_length_c 6.680
_cell_angle_alpha 90.00
_cell_angle_beta 111.34
_cell_angle_gamma 90.00
_symmetry_space_group_name_H-M 'P 1'
_symmetry_Int_Tables_number 1
loop_
_symmetry_equiv_pos_as_xyz
'x,y,z'
loop_
_atom_site_label
_atom_site_type_symbol
_atom_site_fract_x
_atom_site_fract_y
_atom_site_fract_z
K1 K 0.000 0.000 0.000
K2 K 0.000 0.500 0.500
Pu1 Pu 0.500 0.000 0.500
In1 In 0.500 0.500 0.000
O1 O 0.306 0.500 0.302
O2 O 0.315 0.000 0.679
O3 O 0.685 0.000 0.321
O4 O 0.694 0.500 0.698

---

No. 5
# Dy3Tm3In | the Alexandria database | PBE-GGA | optimized geometry
# - total DFT energy (no corrections) (eV for the cell shown) = -119.96
# - volume (Å³ per atom) = 30.55
# - energy relative to the elements (eV per atom) = -0.004
data_Dy3Tm3In
_chemical_formula_sum 'Dy12 Tm12 In4'
_cell_length_a 13.181
_cell_length_b 5.148
_cell_length_c 12.606
_cell_angle_alpha 90.00
_cell_angle_beta 90.00
_cell_angle_gamma 90.00
_symmetry_space_group_name_H-M 'P 1'
_symmetry_Int_Tables_number 1
loop_
_symmetry_equiv_pos_as_xyz
'x,y,z'
loop_
_atom_site_label
_atom_site_type_symbol
_atom_site_fract_x
_atom_site_fract_y
_atom_site_fract_z
Dy1 Dy 0.088 0.250 0.189
Dy2 Dy 0.174 0.750 0.763
Dy3 Dy 0.189 0.750 0.369
Dy4 Dy 0.311 0.250 0.869
Dy5 Dy 0.326 0.250 0.263
Dy6 Dy 0.412 0.750 0.689
Dy7 Dy 0.588 0.250 0.311
Dy8 Dy 0.674 0.750 0.737
Dy9 Dy 0.689 0.750 0.131
Dy10 Dy 0.811 0.250 0.631
Dy11 Dy 0.826 0.250 0.237
Dy12 Dy 0.912 0.750 0.811
Tm1 Tm 0.023 0.250 0.433
Tm2 Tm 0.053 0.250 0.928
Tm3 Tm 0.222 0.750 0.055
Tm4 Tm 0.278 0.250 0.555
Tm5 Tm 0.447 0.750 0.428
Tm6 Tm 0.477 0.750 0.933
Tm7 Tm 0.523 0.250 0.067
Tm8 Tm 0.553 0.250 0.572
Tm9 Tm 0.722 0.750 0.445
Tm10 Tm 0.778 0.250 0.945
Tm11 Tm 0.947 0.750 0.072
Tm12 Tm 0.977 0.750 0.567
In1 In 0.052 0.250 0.683
In2 In 0.448 0.750 0.183
In3 In 0.552 0.250 0.817
In4 In 0.948 0.750 0.317

---

No. 6
# NdDyCo10 | the Alexandria database | PBE-GGA | optimized geometry
# - total DFT energy (no corrections) (eV for the cell shown) = -81.30
# - volume (Å³ per atom) = 14.04
# - energy relative to the elements (eV per atom) = -0.073
data_NdDyCo10
_chemical_formula_sum 'Nd1 Dy1 Co10'
_cell_length_a 3.944
_cell_length_b 4.958
_cell_length_c 8.620
_cell_angle_alpha 90.00
_cell_angle_beta 90.00
_cell_angle_gamma 90.00
_symmetry_space_group_name_H-M 'P 1'
_symmetry_Int_Tables_number 1
loop_
_symmetry_equiv_pos_as_xyz
'x,y,z'
loop_
_atom_site_label
_atom_site_type_symbol
_atom_site_fract_x
_atom_site_fract_y
_atom_site_fract_z
Nd1 Nd 0.000 0.000 0.000
Dy1 Dy 0.000 0.500 0.500
Co1 Co 0.000 0.000 0.338
Co2 Co 0.000 0.000 0.662
Co3 Co 0.000 0.500 0.174
Co4 Co 0.000 0.500 0.826
Co5 Co 0.500 0.000 0.500
Co6 Co 0.500 0.253 0.254
Co7 Co 0.500 0.253 0.746
Co8 Co 0.500 0.500 0.000
Co9 Co 0.500 0.747 0.254
Co10 Co 0.500 0.747 0.746

---

No. 7
# LaAl3Cl | the Alexandria database | PBE-GGA | optimized geometry
# - total DFT energy (no corrections) (eV for the cell shown) = -17.53
# - energy relative to the elements, uncorrected (eV per atom) = 0.095
# - volume (Å³ per atom) = 25.03
data_LaAl3Cl
_chemical_formula_sum 'La1 Al3 Cl1'
_cell_length_a 5.002
_cell_length_b 5.002
_cell_length_c 5.002
_cell_angle_alpha 90.00
_cell_angle_beta 90.00
_cell_angle_gamma 90.00
_symmetry_space_group_name_H-M 'P 1'
_symmetry_Int_Tables_number 1
loop_
_symmetry_equiv_pos_as_xyz
'x,y,z'
loop_
_atom_site_label
_atom_site_type_symbol
_atom_site_fract_x
_atom_site_fract_y
_atom_site_fract_z
La1 La 0.000 0.000 0.000
Al1 Al 0.000 0.500 0.500
Al2 Al 0.500 0.000 0.500
Al3 Al 0.500 0.500 0.000
Cl1 Cl 0.500 0.500 0.500

---

No. 8
# CaAl3Cu3 | the Alexandria database | PBE-GGA | optimized geometry
# - total DFT energy (no corrections) (eV for the cell shown) = -52.84
# - volume (Å³ per atom) = 17.40
# - energy relative to the elements (eV per atom) = -0.129
data_CaAl3Cu3
_chemical_formula_sum 'Ca2 Al6 Cu6'
_cell_length_a 7.001
_cell_length_b 4.341
_cell_length_c 8.537
_cell_angle_alpha 90.00
_cell_angle_beta 110.16
_cell_angle_gamma 90.00
_symmetry_space_group_name_H-M 'P 1'
_symmetry_Int_Tables_number 1
loop_
_symmetry_equiv_pos_as_xyz
'x,y,z'
loop_
_atom_site_label
_atom_site_type_symbol
_atom_site_fract_x
_atom_site_fract_y
_atom_site_fract_z
Ca1 Ca 0.201 0.250 0.278
Ca2 Ca 0.799 0.750 0.722
Al1 Al 0.160 0.250 0.893
Al2 Al 0.235 0.750 0.734
Al3 Al 0.469 0.250 0.718
Al4 Al 0.531 0.750 0.282
Al5 Al 0.765 0.250 0.266
Al6 Al 0.840 0.750 0.107
Cu1 Cu 0.034 0.250 0.578
Cu2 Cu 0.186 0.750 0.030
Cu3 Cu 0.391 0.750 0.521
Cu4 Cu 0.609 0.250 0.479
Cu5 Cu 0.814 0.250 0.970
Cu6 Cu 0.966 0.750 0.422

---

No. 9
# BeSbN2O | the Alexandria database | PBE-GGA | optimized geometry
# - total DFT energy (no corrections) (eV for the cell shown) = -26.71
# - energy relative to the elements, uncorrected (eV per atom) = 0.550
# - volume (Å³ per atom) = 9.45
data_BeSbN2O
_chemical_formula_sum 'Be1 Sb1 N2 O1'
_cell_length_a 3.661
_cell_length_b 3.661
_cell_length_c 3.527
_cell_angle_alpha 90.00
_cell_angle_beta 90.00
_cell_angle_gamma 90.00
_symmetry_space_group_name_H-M 'P 1'
_symmetry_Int_Tables_number 1
loop_
_symmetry_equiv_pos_as_xyz
'x,y,z'
loop_
_atom_site_label
_atom_site_type_symbol
_atom_site_fract_x
_atom_site_fract_y
_atom_site_fract_z
Be1 Be 0.000 0.000 0.000
Sb1 Sb 0.500 0.500 0.500
N1 N 0.000 0.500 0.000
N2 N 0.500 0.000 0.000
O1 O 0.000 0.000 0.500

---

No. 10
# ZrTl3Fe | the Alexandria database | PBE-GGA | optimized geometry
# - total DFT energy (no corrections) (eV for the cell shown) = -20.30
# - volume (Å³ per atom) = 24.65
# - energy relative to the elements (eV per atom) = 0.762
data_ZrTl3Fe
_chemical_formula_sum 'Zr1 Tl3 Fe1'
_cell_length_a 4.976
_cell_length_b 4.976
_cell_length_c 4.976
_cell_angle_alpha 90.00
_cell_angle_beta 90.00
_cell_angle_gamma 90.00
_symmetry_space_group_name_H-M 'P 1'
_symmetry_Int_Tables_number 1
loop_
_symmetry_equiv_pos_as_xyz
'x,y,z'
loop_
_atom_site_label
_atom_site_type_symbol
_atom_site_fract_x
_atom_site_fract_y
_atom_site_fract_z
Zr1 Zr 0.000 0.000 0.000
Tl1 Tl 0.000 0.500 0.500
Tl2 Tl 0.500 0.000 0.500
Tl3 Tl 0.500 0.500 0.000
Fe1 Fe 0.500 0.500 0.500

---

No. 11
# ZnAg2SnS4 | the Alexandria database | PBE-GGA | optimized geometry
# - total DFT energy (no corrections) (eV for the cell shown) = -60.90
# - energy relative to the elements, uncorrected (eV per atom) = -0.370
# - volume (Å³ per atom) = 23.54
data_ZnAg2SnS4
_chemical_formula_sum 'Zn2 Ag4 Sn2 S8'
_cell_length_a 5.556
_cell_length_b 5.556
_cell_length_c 12.199
_cell_angle_alpha 90.00
_cell_angle_beta 90.00
_cell_angle_gamma 90.00
_symmetry_space_group_name_H-M 'P 1'
_symmetry_Int_Tables_number 1
loop_
_symmetry_equiv_pos_as_xyz
'x,y,z'
loop_
_atom_site_label
_atom_site_type_symbol
_atom_site_fract_x
_atom_site_fract_y
_atom_site_fract_z
Zn1 Zn 0.000 0.000 0.000
Zn2 Zn 0.500 0.500 0.500
Ag1 Ag 0.000 0.500 0.250
Ag2 Ag 0.000 0.500 0.750
Ag3 Ag 0.500 0.000 0.250
Ag4 Ag 0.500 0.000 0.750
Sn1 Sn 0.000 0.000 0.500
Sn2 Sn 0.500 0.500 0.000
S1 S 0.244 0.244 0.115
S2 S 0.244 0.756 0.885
S3 S 0.256 0.256 0.615
S4 S 0.256 0.744 0.385
S5 S 0.744 0.256 0.385
S6 S 0.744 0.744 0.615
S7 S 0.756 0.244 0.885
S8 S 0.756 0.756 0.115

---

No. 12
# Tm4OsRh2 | the Alexandria database | PBE-GGA | optimized geometry
# - total DFT energy (no corrections) (eV for the cell shown) = -48.15
# - volume (Å³ per atom) = 21.75
# - energy relative to the elements (eV per atom) = -0.619
data_Tm4OsRh2
_chemical_formula_sum 'Tm4 Os1 Rh2'
_cell_length_a 8.194
_cell_length_b 8.194
_cell_length_c 8.194
_cell_angle_alpha 33.87
_cell_angle_beta 33.87
_cell_angle_gamma 33.87
_symmetry_space_group_name_H-M 'P 1'
_symmetry_Int_Tables_number 1
loop_
_symmetry_equiv_pos_as_xyz
'x,y,z'
loop_
_atom_site_label
_atom_site_type_symbol
_atom_site_fract_x
_atom_site_fract_y
_atom_site_fract_z
Tm1 Tm 0.124 0.124 0.124
Tm2 Tm 0.375 0.375 0.375
Tm3 Tm 0.625 0.625 0.625
Tm4 Tm 0.876 0.876 0.876
Os1 Os 0.000 0.000 0.000
Rh1 Rh 0.250 0.250 0.250
Rh2 Rh 0.750 0.750 0.750